TaCoIO2, optimized geometry, DFT GGA+U; volume = 74.81 Å³/cell; polymorph energy (0 for the lowest one) = 1703 meV/atom; calculated total energy = -5.076 eV per atom
1.0
3.943 0.000 0.000
0.000 3.943 0.000
0.000 0.000 4.812
Ta Co I O
1 1 1 2
direct
0.000 0.000 0.000
0.500 0.500 0.500
0.500 0.500 0.000
0.000 0.500 0.500
0.500 0.000 0.500